# PmEr4Tm7 PBE-GGA optimized geometry
data_PmEr4Tm7
_chemical_formula_sum 'Pm1 Er4 Tm7'
_cell_length_a 6.894
_cell_length_b 6.651
_cell_length_c 11.975
_cell_angle_alpha 72.39
_cell_angle_beta 45.08
_cell_angle_gamma 76.42
_space_group_name_H-M_alt 'P 1'
_space_group_IT_number 1
_space_group_name_Hall 'P 1'
loop_
_atom_site_label
_atom_site_fract_x
_atom_site_fract_y
_atom_site_fract_z
Pm1 0.000 0.000 0.000
Er1 0.451 0.655 0.317
Er2 0.549 0.345 0.683
Er3 0.729 0.812 0.664
Er4 0.271 0.188 0.336
Tm1 0.776 0.520 0.973
Tm2 0.224 0.480 0.027
Tm3 0.068 0.322 0.669
Tm4 0.932 0.678 0.331
Tm5 0.263 0.819 0.630
Tm6 0.500 0.000 0.000
Tm7 0.737 0.181 0.370
# DFT formation energy = 8.0 kJ/mol of atoms
# total energy = -53.31 eV/cell
# distance to the lowest polymorph of the same formula = 0 meV/atom

***

# ScTl2Mo PBE-GGA optimized geometry
data_ScTl2Mo
_chemical_formula_sum 'Sc1 Tl2 Mo1'
_cell_length_a 5.727
_cell_length_b 5.727
_cell_length_c 4.707
_cell_angle_alpha 65.75
_cell_angle_beta 65.75
_cell_angle_gamma 37.47
_space_group_name_H-M_alt 'P 1'
_space_group_IT_number 1
_space_group_name_Hall 'P 1'
loop_
_atom_site_label
_atom_site_fract_x
_atom_site_fract_y
_atom_site_fract_z
Mo1 0.506 0.506 0.494
Sc1 0.231 0.231 0.269
Tl1 0.001 0.001 0.999
Tl2 0.763 0.763 0.737
# DFT formation energy = 30.0 kJ/mol of atoms
# total energy = -20.65 eV/cell
# distance to the lowest polymorph of the same formula = 54 meV/atom

***

# HgPbCl3 PBE-GGA optimized geometry
data_HgPbCl3
_chemical_formula_sum 'Hg2 Pb2 Cl6'
_cell_length_a 5.045
_cell_length_b 6.687
_cell_length_c 11.454
_cell_angle_alpha 106.97
_cell_angle_beta 90.00
_cell_angle_gamma 90.00
_space_group_name_H-M_alt 'P 1'
_space_group_IT_number 1
_space_group_name_Hall 'P 1'
loop_
_atom_site_label
_atom_site_fract_x
_atom_site_fract_y
_atom_site_fract_z
Hg1 0.250 0.691 0.168
Hg2 0.750 0.522 0.832
Pb1 0.250 0.033 0.648
Pb2 0.750 0.386 0.352
Cl1 0.750 0.950 0.756
Cl2 0.750 0.671 0.169
Cl3 0.750 0.162 0.516
Cl4 0.250 0.502 0.831
Cl5 0.250 0.194 0.244
Cl6 0.250 0.646 0.484
# total energy = -26.53 eV/cell
# distance to the lowest polymorph of the same formula = 0 meV/atom
# ΔE_f (raw) = -0.74 eV/atom

***

# Ag5IO3 PBE-GGA optimized geometry
data_Ag5IO3
_chemical_formula_sum 'Ag10 I2 O6'
_cell_length_a 6.967
_cell_length_b 6.967
_cell_length_c 8.691
_cell_angle_alpha 67.75
_cell_angle_beta 67.75
_cell_angle_gamma 61.07
_space_group_name_H-M_alt 'P 1'
_space_group_IT_number 1
_space_group_name_Hall 'P 1'
loop_
_atom_site_label
_atom_site_fract_x
_atom_site_fract_y
_atom_site_fract_z
Ag1 0.001 0.497 0.312
Ag2 0.313 0.687 0.000
Ag3 0.733 0.733 0.962
Ag4 0.493 0.493 0.309
Ag5 0.507 0.507 0.691
Ag6 0.267 0.267 0.038
Ag7 0.497 0.001 0.312
Ag8 0.687 0.313 0.000
Ag9 0.999 0.503 0.688
Ag10 0.503 0.999 0.688
I1 0.995 0.995 0.738
I2 0.005 0.005 0.262
O1 0.700 0.700 0.593
O2 0.686 0.686 0.238
O3 0.000 0.000 0.000
O4 0.000 0.000 0.500
O5 0.300 0.300 0.407
O6 0.314 0.314 0.762
# total energy = -60.24 eV/cell
# ΔE_f (raw) = 0.06 eV/atom

***

# SrCoSn4 PBE-GGA optimized geometry
data_SrCoSn4
_chemical_formula_sum 'Sr2 Co2 Sn8'
_cell_length_a 6.803
_cell_length_b 7.165
_cell_length_c 7.402
_cell_angle_alpha 99.94
_cell_angle_beta 117.09
_cell_angle_gamma 89.96
_space_group_name_H-M_alt 'P 1'
_space_group_IT_number 1
_space_group_name_Hall 'P 1'
loop_
_atom_site_label
_atom_site_fract_x
_atom_site_fract_y
_atom_site_fract_z
Sr1 0.898 0.749 0.997
Sr2 0.102 0.251 0.003
Co1 0.500 0.000 0.500
Co2 0.000 0.500 0.500
Sn1 0.539 0.079 0.851
Sn2 0.691 0.424 0.150
Sn3 0.461 0.921 0.149
Sn4 0.309 0.576 0.850
Sn5 0.872 0.849 0.531
Sn6 0.341 0.651 0.469
Sn7 0.128 0.151 0.469
Sn8 0.659 0.349 0.531
# DFT formation energy = -16.9 kJ/mol of atoms
# total energy = -51.70 eV/cell

***

# B5C7 PBE-GGA optimized geometry
data_B5C7
_chemical_formula_sum 'B5 C7'
_cell_length_a 5.910
_cell_length_b 5.910
_cell_length_c 5.445
_cell_angle_alpha 102.94
_cell_angle_beta 102.94
_cell_angle_gamma 25.00
_space_group_name_H-M_alt 'P 1'
_space_group_IT_number 1
_space_group_name_Hall 'P 1'
loop_
_atom_site_label
_atom_site_fract_x
_atom_site_fract_y
_atom_site_fract_z
B1 0.931 0.931 0.200
B2 0.321 0.321 0.154
B3 0.238 0.238 0.410
B4 0.987 0.987 0.519
B5 0.601 0.601 0.533
C1 0.006 0.006 0.992
C2 0.912 0.912 0.723
C3 0.670 0.670 0.299
C4 0.332 0.332 0.687
C5 0.247 0.247 0.874
C6 0.669 0.669 0.833
C7 0.587 0.587 0.026
# DFT formation energy = 41.0 kJ/mol of atoms
# total energy = -92.86 eV/cell
# distance to the lowest polymorph of the same formula = 167 meV/atom

***

# KLiRu PBE-GGA optimized geometry
data_KLiRu
_chemical_formula_sum 'K1 Li1 Ru1'
_cell_length_a 5.223
_cell_length_b 5.223
_cell_length_c 2.612
_cell_angle_alpha 90.00
_cell_angle_beta 90.00
_cell_angle_gamma 120.00
_space_group_name_H-M_alt 'P 1'
_space_group_IT_number 1
_space_group_name_Hall 'P 1'
loop_
_atom_site_label
_atom_site_fract_x
_atom_site_fract_y
_atom_site_fract_z
K1 0.000 0.000 0.165
Li1 0.667 0.333 0.170
Ru1 0.333 0.667 0.665
# DFT formation energy = 86.7 kJ/mol of atoms
# total energy = -9.59 eV/cell
# distance to the lowest polymorph of the same formula = 127 meV/atom

***

# PrPu2Sc PBE-GGA optimized geometry
data_PrPu2Sc
_chemical_formula_sum 'Pr1 Pu2 Sc1'
_cell_length_a 4.961
_cell_length_b 4.744
_cell_length_c 4.744
_cell_angle_alpha 90.00
_cell_angle_beta 90.00
_cell_angle_gamma 90.00
_space_group_name_H-M_alt 'P 1'
_space_group_IT_number 1
_space_group_name_Hall 'P 1'
loop_
_atom_site_label
_atom_site_fract_x
_atom_site_fract_y
_atom_site_fract_z
Pr1 0.500 0.500 0.500
Sc1 0.500 0.000 0.000
Pu1 0.000 0.000 0.500
Pu2 0.000 0.500 0.000
# DFT formation energy = 20.5 kJ/mol of atoms
# total energy = -38.93 eV/cell
# distance to the lowest polymorph of the same formula = 4 meV/atom

***

# ErTm2Sc2 PBE-GGA optimized geometry
data_ErTm2Sc2
_chemical_formula_sum 'Er4 Tm8 Sc8'
_cell_length_a 5.937
_cell_length_b 6.856
_cell_length_c 13.837
_cell_angle_alpha 90.00
_cell_angle_beta 98.10
_cell_angle_gamma 90.00
_space_group_name_H-M_alt 'P 1'
_space_group_IT_number 1
_space_group_name_Hall 'P 1'
loop_
_atom_site_label
_atom_site_fract_x
_atom_site_fract_y
_atom_site_fract_z
Er1 0.350 0.376 0.303
Er2 0.650 0.624 0.697
Er3 0.850 0.124 0.303
Er4 0.150 0.876 0.697
Tm1 0.619 0.376 0.099
Tm2 0.119 0.124 0.099
Tm3 0.881 0.876 0.901
Tm4 0.381 0.624 0.901
Tm5 0.854 0.627 0.303
Tm6 0.354 0.873 0.303
Tm7 0.646 0.127 0.697
Tm8 0.146 0.373 0.697
Sc1 0.615 0.874 0.100
Sc2 0.115 0.626 0.100
Sc3 0.885 0.374 0.900
Sc4 0.385 0.126 0.900
Sc5 0.750 0.375 0.500
Sc6 0.250 0.125 0.500
Sc7 0.750 0.875 0.500
Sc8 0.250 0.625 0.500
# DFT formation energy = 3.8 kJ/mol of atoms
# total energy = -103.90 eV/cell
# distance to the lowest polymorph of the same formula = 0 meV/atom

***

# MgBeGaPb2 PBE-GGA optimized geometry
data_MgBeGaPb2
_chemical_formula_sum 'Mg1 Be1 Ga1 Pb2'
_cell_length_a 5.118
_cell_length_b 5.118
_cell_length_c 4.778
_cell_angle_alpha 90.00
_cell_angle_beta 90.00
_cell_angle_gamma 90.00
_space_group_name_H-M_alt 'P 1'
_space_group_IT_number 1
_space_group_name_Hall 'P 1'
loop_
_atom_site_label
_atom_site_fract_x
_atom_site_fract_y
_atom_site_fract_z
Pb1 0.000 0.500 0.000
Pb2 0.500 0.000 0.000
Be1 0.000 0.000 0.000
Mg1 0.000 0.000 0.500
Ga1 0.500 0.500 0.500
# DFT formation energy = 36.7 kJ/mol of atoms
# total energy = -13.86 eV/cell

***

# Tm3Be6Pd20 PBE-GGA optimized geometry
data_Tm3Be6Pd20
_chemical_formula_sum 'Tm3 Be6 Pd20'
_cell_length_a 8.447
_cell_length_b 8.447
_cell_length_c 8.447
_cell_angle_alpha 60.00
_cell_angle_beta 60.00
_cell_angle_gamma 60.00
_space_group_name_H-M_alt 'P 1'
_space_group_IT_number 1
_space_group_name_Hall 'P 1'
loop_
_atom_site_label
_atom_site_fract_x
_atom_site_fract_y
_atom_site_fract_z
Tm1 0.750 0.750 0.750
Tm2 0.250 0.250 0.250
Tm3 0.000 0.000 0.000
Be1 0.272 0.728 0.728
Be2 0.728 0.272 0.272
Be3 0.272 0.272 0.728
Be4 0.728 0.272 0.728
Be5 0.272 0.728 0.272
Be6 0.728 0.728 0.272
Pd1 0.382 0.382 0.853
Pd2 0.147 0.618 0.618
Pd3 0.659 0.000 0.000
Pd4 0.659 0.341 0.000
Pd5 0.000 0.000 0.659
Pd6 0.382 0.853 0.382
Pd7 0.000 0.341 0.659
Pd8 0.659 0.000 0.341
Pd9 0.000 0.659 0.000
Pd10 0.000 0.000 0.341
Pd11 0.341 0.000 0.659
Pd12 0.000 0.341 0.000
Pd13 0.341 0.659 0.000
Pd14 0.341 0.000 0.000
Pd15 0.382 0.382 0.382
Pd16 0.618 0.618 0.147
Pd17 0.618 0.618 0.618
Pd18 0.618 0.147 0.618
Pd19 0.853 0.382 0.382
Pd20 0.000 0.659 0.341
# DFT formation energy = -64.3 kJ/mol of atoms
# total energy = -158.97 eV/cell

***

# LiTb3Dy3Se8 PBE-GGA optimized geometry
data_LiTb3Dy3Se8
_chemical_formula_sum 'Li1 Tb3 Dy3 Se8'
_cell_length_a 8.118
_cell_length_b 8.120
_cell_length_c 8.125
_cell_angle_alpha 119.98
_cell_angle_beta 90.00
_cell_angle_gamma 119.99
_space_group_name_H-M_alt 'P 1'
_space_group_IT_number 1
_space_group_name_Hall 'P 1'
loop_
_atom_site_label
_atom_site_fract_x
_atom_site_fract_y
_atom_site_fract_z
Li1 0.000 0.000 0.500
Tb1 0.000 0.000 0.000
Tb2 0.000 0.500 0.000
Tb3 0.500 0.500 0.000
Dy1 0.500 0.000 0.500
Dy2 0.500 0.500 0.500
Dy3 0.000 0.500 0.500
Se1 0.251 0.501 0.252
Se2 0.749 0.499 0.748
Se3 0.753 0.506 0.254
Se4 0.247 0.494 0.746
Se5 0.753 0.001 0.254
Se6 0.247 0.999 0.746
Se7 0.248 0.001 0.254
Se8 0.752 0.999 0.746
# total energy = -84.47 eV/cell
# ΔE_f (raw) = -1.80 eV/atom